# 1
Here is a geometry-optimized Cd2NiAg structure from Alexandria via LeMat-Bulk. Energies are from PBE.

The total DFT energy (no corrections) is -2.545 eV/atom. As for the volume: 17.72 Å³/atom. For the density of states at the Fermi level, the calculation gives 0.678 states/eV per atom. For the magnetic moment, the calculation gives 0.01 μB per atom.

The space group is R-3m (No. 166, hexagonal axes) and the conventional cell measures 2.9976, 2.9976 and 27.3280 Å, with angles of 90.00, 90.00 and 120.00 degrees. Symmetry generates all atoms from Cd at (0.0000, 0.0000, 0.2430), Ni at (0.0000, 0.0000, 0.5000) and Ag at (0.0000, 0.0000, 0.0000).

# 2
Here is a geometry-optimized Ti2SiGeS structure from Alexandria via LeMat-Bulk. Energies are from PBE.

The total DFT energy (no corrections) is -5.810 eV/atom. As for the volume: 19.10 Å³/atom. For the density of states at the Fermi level, the calculation gives 0.951 states/eV per atom. For the uncorrected formation energy, the calculation gives 182 meV/atom. For the magnetic moment, the calculation gives 0.00 μB per atom.

The space group is P4/mmm (No. 123) and the conventional cell measures 4.497, 4.497 and 4.724 Å, with angles of 90.00, 90.00 and 90.00 degrees. Symmetry generates all atoms from Ti at (0.000, 0.500, 0.000), Si at (0.000, 0.000, 0.500), Ge at (0.500, 0.500, 0.500) and S at (0.500, 0.500, 0.000).

# 3
Here is a geometry-optimized Mg5GaAg3 structure from Alexandria via LeMat-Bulk. Energies are from PBE.

The total DFT energy (no corrections) is -2.159 eV/atom. As for the volume: 22.78 Å³/atom. For the density of states at the Fermi level, the calculation gives 0.372 states/eV per atom. For the magnetic moment, the calculation gives 0.00 μB per atom.

The space group is C2/m (No. 12) and the conventional cell measures 9.763, 8.300 and 10.193 Å, with angles of 90.00, 96.87 and 90.00 degrees. Symmetry generates all atoms from Mg at (0.000, 0.179, 0.000), Mg at (0.029, 0.000, 0.338), Mg at (0.198, 0.306, 0.647), Mg at (0.235, 0.000, 0.857), Ga at (0.017, 0.500, 0.250), Ag at (0.000, 0.500, 0.000), Ag at (0.000, 0.500, 0.500), Ag at (0.231, 0.000, 0.574) and Ag at (0.232, 0.000, 0.127).

# 4
Here is a geometry-optimized TaCd2Cl structure from Alexandria via LeMat-Bulk. Energies are from PBE.

The total DFT energy (no corrections) is -3.527 eV/atom. As for the volume: 21.44 Å³/atom. For the density of states at the Fermi level, the calculation gives 0.849 states/eV per atom. For the uncorrected formation energy, the calculation gives 356 meV/atom. As for the excess energy over the best structure of this formula in the dataset: 391.9 meV/atom. For the magnetic moment, the calculation gives 0.00 μB per atom.

The space group is P4/mmm (No. 123) and the conventional cell measures 5.355, 5.355 and 2.990 Å, with angles of 90.00, 90.00 and 90.00 degrees. Symmetry generates all atoms from Ta at (0.000, 0.000, 0.000), Cd at (0.000, 0.500, 0.500) and Cl at (0.500, 0.500, 0.000).

# 5
Here is a geometry-optimized K2BePb structure from Alexandria via LeMat-Bulk. Energies are from PBE.

The total DFT energy (no corrections) is -2.049 eV/atom. As for the volume: 39.72 Å³/atom. For the density of states at the Fermi level, the calculation gives 0.482 states/eV per atom. As for the excess energy over the best structure of this formula in the dataset: 191.3 meV/atom. For the magnetic moment, the calculation gives 0.00 μB per atom.

The space group is Cmm2 (No. 35) and the conventional cell measures 4.707, 6.513 and 10.363 Å, with angles of 90.00, 90.00 and 90.00 degrees. Symmetry generates all atoms from K at (0.000, 0.000, 0.000), K at (0.000, 0.500, 0.389), Be at (0.000, 0.500, 0.728) and Pb at (0.000, 0.000, 0.659).

# 6
Here is a geometry-optimized Ir2C structure from Alexandria via LeMat-Bulk. Energies are from PBE.

The total DFT energy (no corrections) is -8.415 eV/atom. As for the volume: 12.62 Å³/atom. For the density of states at the Fermi level, the calculation gives 0.954 states/eV per atom. As for the excess energy over the best structure of this formula in the dataset: 8.8 meV/atom. For the magnetic moment, the calculation gives 0.00 μB per atom.

The space group is R3m (No. 160, hexagonal axes) and the conventional cell measures 2.7802, 2.7802 and 16.9658 Å, with angles of 90.00, 90.00 and 120.00 degrees. Symmetry generates all atoms from Ir at (0.0000, 0.0000, 0.0000), Ir at (0.0000, 0.0000, 0.4762) and C at (0.0000, 0.0000, 0.8878).